A geometry-optimized YPuSe2 structure, computed with PBE.

Values from the calculation:
Total energy = -68.6 eV per cell
Energy above the lowest structure with this stoichiometry = 0.17 eV per formula unit
Total magnetic moment = 1.510 μB per atom
Formation energy (no corrections) = -1.6359 eV/atom
Density of states at the Fermi level = 21.29 states/eV/cell

```
data_YPuSe2
_chemical_formula_sum 'Y2 Pu2 Se4'
_space_group_name_H-M_alt 'P 63/m m c'
_space_group_IT_number 194
_space_group_name_Hall '-P 6c 2c'
_cell_length_a 4.0383
_cell_length_b 4.0383
_cell_length_c 14.0841
_cell_angle_alpha 90.00
_cell_angle_beta 90.00
_cell_angle_gamma 120.00
loop_
_atom_site_label
_atom_site_type_symbol
_atom_site_fract_x
_atom_site_fract_y
_atom_site_fract_z
Y1 Y 0.0000 0.0000 0.0000
Pu1 Pu 0.3333 0.6667 0.2500
Se1 Se 0.3333 0.6667 0.6198
```

***

A geometry-optimized Zr2TlCd structure, computed with PBE.

Values from the calculation:
Total energy = -60.9 eV per cell
Total magnetic moment = 0.000 μB per atom
Density of states at the Fermi level = 15.93 states/eV/cell

```
data_Zr2TlCd
_chemical_formula_sum 'Zr6 Tl3 Cd3'
_space_group_name_H-M_alt 'R -3 m'
_space_group_IT_number 166
_space_group_name_Hall '-R 3 2"'
_cell_length_a 3.1900
_cell_length_b 3.1900
_cell_length_c 31.4999
_cell_angle_alpha 90.00
_cell_angle_beta 90.00
_cell_angle_gamma 120.00
loop_
_atom_site_label
_atom_site_type_symbol
_atom_site_fract_x
_atom_site_fract_y
_atom_site_fract_z
Zr1 Zr 0.0000 0.0000 0.2504
Tl1 Tl 0.0000 0.0000 0.5000
Cd1 Cd 0.0000 0.0000 0.0000
```

***

A geometry-optimized SmYZnSi structure, computed with PBE.

Values from the calculation:
Total energy = -40.3 eV per cell
Energy above the lowest structure with this stoichiometry = 0.00 eV per formula unit
Total magnetic moment = 0.076 μB per atom
Formation energy (no corrections) = -0.5655 eV/atom
Density of states at the Fermi level = 8.36 states/eV/cell

```
data_SmYZnSi
_chemical_formula_sum 'Sm2 Y2 Zn2 Si2'
_space_group_name_H-M_alt 'A m m 2'
_space_group_IT_number 38
_cell_length_a 4.081
_cell_length_b 4.221
_cell_length_c 11.022
_cell_angle_alpha 90.00
_cell_angle_beta 90.00
_cell_angle_gamma 90.00
loop_
_space_group_symop_operation_xyz
'x,y,z'
'-x,-y,z'
'-x,y,z'
'x,-y,z'
'x,y+1/2,z+1/2'
'-x,-y+1/2,z+1/2'
'-x,y+1/2,z+1/2'
'x,-y+1/2,z+1/2'
loop_
_atom_site_label
_atom_site_type_symbol
_atom_site_fract_x
_atom_site_fract_y
_atom_site_fract_z
Sm1 Sm 0.000 0.000 0.000
Y1 Y 0.500 0.000 0.284
Zn1 Zn 0.500 0.000 0.577
Si1 Si 0.000 0.000 0.718
```

***

A geometry-optimized MgZrTlIn structure, computed with PBE.

Values from the calculation:
Total energy = -15.9 eV per cell
Total magnetic moment = 0.000 μB per atom
Density of states at the Fermi level = 1.46 states/eV/cell

```
data_MgZrTlIn
_chemical_formula_sum 'Mg1 Zr1 Tl1 In1'
_space_group_name_H-M_alt 'P m m m'
_space_group_IT_number 47
_cell_length_a 4.311
_cell_length_b 4.520
_cell_length_c 4.589
_cell_angle_alpha 90.00
_cell_angle_beta 90.00
_cell_angle_gamma 90.00
loop_
_space_group_symop_operation_xyz
'x,y,z'
'-x,-y,-z'
'-x,-y,z'
'x,y,-z'
'x,-y,-z'
'-x,y,z'
'-x,y,-z'
'x,-y,z'
loop_
_atom_site_label
_atom_site_type_symbol
_atom_site_fract_x
_atom_site_fract_y
_atom_site_fract_z
Mg1 Mg 0.000 0.000 0.000
Zr1 Zr 0.000 0.500 0.500
Tl1 Tl 0.500 0.500 0.000
In1 In 0.500 0.000 0.500
```

***

A geometry-optimized Sr4Cd5Sn6 structure, computed with PBE.

Values from the calculation:
Total energy = -164.1 eV per cell
Total magnetic moment = 0.000 μB per atom
Density of states at the Fermi level = 33.58 states/eV/cell

```
data_Sr4Cd5Sn6
_chemical_formula_sum 'Sr16 Cd20 Sn24'
_space_group_name_H-M_alt 'C m c 21'
_space_group_IT_number 36
_cell_length_a 4.872
_cell_length_b 21.342
_cell_length_c 17.718
_cell_angle_alpha 90.00
_cell_angle_beta 90.00
_cell_angle_gamma 90.00
loop_
_space_group_symop_operation_xyz
'x,y,z'
'-x,-y,z+1/2'
'-x,y,z'
'x,-y,z+1/2'
'x+1/2,y+1/2,z'
'-x+1/2,-y+1/2,z+1/2'
'-x+1/2,y+1/2,z'
'x+1/2,-y+1/2,z+1/2'
loop_
_atom_site_label
_atom_site_type_symbol
_atom_site_fract_x
_atom_site_fract_y
_atom_site_fract_z
Sr1 Sr 0.000 0.026 0.000
Sr2 Sr 0.000 0.034 0.269
Sr3 Sr 0.000 0.168 0.805
Sr4 Sr 0.000 0.176 0.449
Cd1 Cd 0.000 0.150 0.131
Cd2 Cd 0.000 0.302 0.125
Cd3 Cd 0.000 0.347 0.776
Cd4 Cd 0.000 0.351 0.488
Cd5 Cd 0.000 0.433 0.195
Sn1 Sn 0.000 0.106 0.618
Sn2 Sn 0.000 0.221 0.990
Sn3 Sn 0.000 0.226 0.267
Sn4 Sn 0.000 0.431 0.910
Sn5 Sn 0.000 0.434 0.635
Sn6 Sn 0.000 0.441 0.362
```

***

A geometry-optimized NaCa3Cl structure, computed with PBE.

Values from the calculation:
Total energy = -8.3 eV per cell
Energy above the lowest structure with this stoichiometry = 2.89 eV per formula unit
Total magnetic moment = 0.000 μB per atom
Formation energy (no corrections) = 0.1652 eV/atom
Density of states at the Fermi level = 3.20 states/eV/cell

```
data_NaCa3Cl
_chemical_formula_sum 'Na1 Ca3 Cl1'
_space_group_name_H-M_alt 'P m -3 m'
_space_group_IT_number 221
_space_group_name_Hall '-P 4 2 3'
_cell_length_a 6.523
_cell_length_b 6.523
_cell_length_c 6.523
_cell_angle_alpha 90.00
_cell_angle_beta 90.00
_cell_angle_gamma 90.00
loop_
_atom_site_label
_atom_site_type_symbol
_atom_site_fract_x
_atom_site_fract_y
_atom_site_fract_z
Na1 Na 0.000 0.000 0.000
Ca1 Ca 0.000 0.000 0.500
Cl1 Cl 0.500 0.500 0.500
```

***

A geometry-optimized Ac6Ge2RuBr3 structure, computed with PBE.

Values from the calculation:
Total energy = -121.0 eV per cell
Total magnetic moment = 0.000 μB per atom
Formation energy (no corrections) = -1.0253 eV/atom
Density of states at the Fermi level = 14.10 states/eV/cell

```
data_Ac6Ge2RuBr3
_chemical_formula_sum 'Ac12 Ge4 Ru2 Br6'
_space_group_name_H-M_alt 'C 1 2/m 1'
_space_group_IT_number 12
_cell_length_a 20.174
_cell_length_b 4.462
_cell_length_c 9.627
_cell_angle_alpha 90.00
_cell_angle_beta 105.39
_cell_angle_gamma 90.00
loop_
_space_group_symop_operation_xyz
'x,y,z'
'-x,-y,-z'
'-x,y,-z'
'x,-y,z'
'x+1/2,y+1/2,z'
'-x+1/2,-y+1/2,-z'
'-x+1/2,y+1/2,-z'
'x+1/2,-y+1/2,z'
loop_
_atom_site_label
_atom_site_type_symbol
_atom_site_fract_x
_atom_site_fract_y
_atom_site_fract_z
Ac1 Ac 0.003 0.000 0.213
Ac2 Ac 0.147 0.500 0.100
Ac3 Ac 0.174 0.500 0.566
Ge1 Ge 0.164 0.000 0.337
Ru1 Ru 0.000 0.500 0.000
Br1 Br 0.000 0.500 0.500
Br2 Br 0.175 0.000 0.837
```

***

A geometry-optimized NdErMg3 structure, computed with PBE.

Values from the calculation:
Total energy = -54.4 eV per cell
Energy above the lowest structure with this stoichiometry = 0.72 eV per formula unit
Total magnetic moment = 0.000 μB per atom
Density of states at the Fermi level = 23.41 states/eV/cell

```
data_NdErMg3
_chemical_formula_sum 'Nd4 Er4 Mg12'
_space_group_name_H-M_alt 'I m m a'
_space_group_IT_number 74
_space_group_name_Hall '-I 2b 2'
_cell_length_a 6.131
_cell_length_b 7.895
_cell_length_c 11.720
_cell_angle_alpha 90.00
_cell_angle_beta 90.00
_cell_angle_gamma 90.00
loop_
_atom_site_label
_atom_site_type_symbol
_atom_site_fract_x
_atom_site_fract_y
_atom_site_fract_z
Nd1 Nd 0.000 0.250 0.016
Er1 Er 0.000 0.000 0.500
Mg1 Mg 0.000 0.250 0.298
Mg2 Mg 0.250 0.068 0.750
```

***

A geometry-optimized ScNi3H structure, computed with PBE.

Values from the calculation:
Total energy = -28.9 eV per cell
Energy above the lowest structure with this stoichiometry = 0.18 eV per formula unit
Total magnetic moment = 0.000 μB per atom
Density of states at the Fermi level = 0.35 states/eV/cell

```
data_ScNi3H
_chemical_formula_sum 'Sc1 Ni3 H1'
_space_group_name_H-M_alt 'P m -3 m'
_space_group_IT_number 221
_space_group_name_Hall '-P 4 2 3'
_cell_length_a 3.751
_cell_length_b 3.751
_cell_length_c 3.751
_cell_angle_alpha 90.00
_cell_angle_beta 90.00
_cell_angle_gamma 90.00
loop_
_atom_site_label
_atom_site_type_symbol
_atom_site_fract_x
_atom_site_fract_y
_atom_site_fract_z
Sc1 Sc 0.000 0.000 0.000
Ni1 Ni 0.000 0.500 0.500
H1 H 0.500 0.500 0.500
```

***

A geometry-optimized Pr6ThIn5 structure, computed with PBE.

Values from the calculation:
Total energy = -107.9 eV per cell
Total magnetic moment = 0.205 μB per atom
Density of states at the Fermi level = 28.95 states/eV/cell

```
data_Pr6ThIn5
_chemical_formula_sum 'Pr12 Th2 In10'
_space_group_name_H-M_alt 'I m m m'
_space_group_IT_number 71
_space_group_name_Hall '-I 2 2'
_cell_length_a 5.500
_cell_length_b 7.997
_cell_length_c 16.685
_cell_angle_alpha 90.00
_cell_angle_beta 90.00
_cell_angle_gamma 90.00
loop_
_atom_site_label
_atom_site_type_symbol
_atom_site_fract_x
_atom_site_fract_y
_atom_site_fract_z
Pr1 Pr 0.000 0.234 0.000
Pr2 Pr 0.000 0.257 0.328
Th1 Th 0.000 0.000 0.500
In1 In 0.000 0.000 0.168
In2 In 0.000 0.500 0.153
In3 In 0.000 0.500 0.500
```

***

A geometry-optimized PrAlTl2Te4 structure, computed with PBE.

Values from the calculation:
Total energy = -123.3 eV per cell
Total magnetic moment = 0.000 μB per atom
Formation energy (no corrections) = -0.6244 eV/atom
Density of states at the Fermi level = 4.35 states/eV/cell

```
data_PrAlTl2Te4
_chemical_formula_sum 'Pr4 Al4 Tl8 Te16'
_space_group_name_H-M_alt 'I m m a'
_space_group_IT_number 74
_space_group_name_Hall '-I 2b 2'
_cell_length_a 8.886
_cell_length_b 9.386
_cell_length_c 13.016
_cell_angle_alpha 90.00
_cell_angle_beta 90.00
_cell_angle_gamma 90.00
loop_
_atom_site_label
_atom_site_type_symbol
_atom_site_fract_x
_atom_site_fract_y
_atom_site_fract_z
Pr1 Pr 0.000 0.000 0.000
Al1 Al 0.250 0.250 0.250
Tl1 Tl 0.000 0.000 0.500
Tl2 Tl 0.250 0.250 0.750
Te1 Te 0.000 0.046 0.246
Te2 Te 0.240 0.250 0.025
```

***

A geometry-optimized BaTaIn2 structure, computed with PBE.

Values from the calculation:
Total energy = -34.7 eV per cell
Energy above the lowest structure with this stoichiometry = 1.26 eV per formula unit
Total magnetic moment = 0.000 μB per atom
Density of states at the Fermi level = 5.14 states/eV/cell

```
data_BaTaIn2
_chemical_formula_sum 'Ba2 Ta2 In4'
_space_group_name_H-M_alt 'C 1 m 1'
_space_group_IT_number 8
_cell_length_a 10.756
_cell_length_b 3.211
_cell_length_c 6.628
_cell_angle_alpha 90.00
_cell_angle_beta 95.81
_cell_angle_gamma 90.00
loop_
_space_group_symop_operation_xyz
'x,y,z'
'x,-y,z'
'x+1/2,y+1/2,z'
'x+1/2,-y+1/2,z'
loop_
_atom_site_label
_atom_site_type_symbol
_atom_site_fract_x
_atom_site_fract_y
_atom_site_fract_z
Ba1 Ba 0.000 0.000 0.000
Ta1 Ta 0.255 0.500 0.366
In1 In 0.252 0.000 0.729
In2 In 0.494 0.000 0.461
```

***

Repeat the sixth record exactly.
A geometry-optimized NaCa3Cl structure, computed with PBE.

Values from the calculation:
Total energy = -8.3 eV per cell
Energy above the lowest structure with this stoichiometry = 2.89 eV per formula unit
Total magnetic moment = 0.000 μB per atom
Formation energy (no corrections) = 0.1652 eV/atom
Density of states at the Fermi level = 3.20 states/eV/cell

```
data_NaCa3Cl
_chemical_formula_sum 'Na1 Ca3 Cl1'
_space_group_name_H-M_alt 'P m -3 m'
_space_group_IT_number 221
_space_group_name_Hall '-P 4 2 3'
_cell_length_a 6.523
_cell_length_b 6.523
_cell_length_c 6.523
_cell_angle_alpha 90.00
_cell_angle_beta 90.00
_cell_angle_gamma 90.00
loop_
_atom_site_label
_atom_site_type_symbol
_atom_site_fract_x
_atom_site_fract_y
_atom_site_fract_z
Na1 Na 0.000 0.000 0.000
Ca1 Ca 0.000 0.000 0.500
Cl1 Cl 0.500 0.500 0.500
```

***

Question: Which value of total energy does entry 4 give?
Answer: -15.9 eV per cell